No. 1
The following is a PBE calculation of a relaxed BaMnSiS4 crystal, from the Alexandria database.

abc: 6.091 6.872 8.390
angles: 90.00 105.61 90.00
Site moments in Bohr magnetons follow the coordinates.
Fractional coordinates of all 14 atoms:
Ba  0.755  0.750  0.934  0.02
Ba  0.245  0.250  0.066  0.02
Mn  0.842  0.750  0.488  4.26
Mn  0.158  0.250  0.512  4.26
Si  0.225  0.750  0.315  0.01
Si  0.775  0.250  0.685  0.01
S  0.018  0.486  0.706  0.05
S  0.982  0.986  0.294  0.05
S  0.982  0.514  0.294  0.05
S  0.018  0.014  0.706  0.05
S  0.329  0.750  0.094  0.02
S  0.671  0.250  0.906  0.02
S  0.477  0.750  0.542  0.04
S  0.523  0.250  0.458  0.04

## Properties
- Spin magnetization: 10.0 Bohr magnetons per cell
- Uncorrected energy: -80.85 eV/cell
- Symmetry: No. 11
- Density: 3423 kg/m³
- Formation energy from raw total energies: -1.0569 eV per atom


No. 2
The following is a PBE calculation of a relaxed Fe2CoIr crystal, from the Alexandria database.

abc: 2.871 2.871 6.064
angles: 90.00 90.00 90.00
Site moments in Bohr magnetons follow the coordinates.
Fractional coordinates of all 4 atoms:
Co  0.500  0.500  0.771  1.82
Fe  0.000  0.000  0.995  2.76
Fe  0.500  0.500  0.237  2.73
Ir  0.000  0.000  0.497  0.66

## Properties
- Spin magnetization: 8.0 Bohr magnetons per cell
- Density of states at the Fermi level: 1.1675 states/eV/atom
- Uncorrected energy: -32.81 eV/cell
- Symmetry: No. 99
- Density: 12054 kg/m³
- Formation enthalpy at 0 K: 0.021 eV/atom


No. 3
The following is a PBE calculation of a relaxed LiBe2Cr crystal, from the Alexandria database.

abc: 2.289 3.669 4.945
angles: 90.00 90.00 90.00
Site moments in Bohr magnetons follow the coordinates.
Fractional coordinates of all 4 atoms:
Be  0.000  0.000  0.010  0.00
Be  0.500  0.500  0.242  -0.02
Cr  0.000  0.000  0.480  1.47
Li  0.500  0.500  0.768  0.04

## Properties
- Energy above the most stable polymorph in this dataset: 223.7 meV per atom
- Spin magnetization: 1.6 Bohr magnetons per cell
- Density of states at the Fermi level: 0.5552 states/eV/atom
- Uncorrected energy: -17.62 eV/cell
- Symmetry: No. 25
- Density: 3077 kg/m³
- Formation enthalpy at 0 K: 0.343 eV/atom


No. 4
The following is a PBE calculation of a relaxed Tb4MgAl2 crystal, from the Alexandria database.

abc: 7.259 6.499 8.761
angles: 90.00 111.63 90.00
Fractional coordinates of all 14 atoms:
Tb  0.602  0.485  0.232
Tb  0.892  0.750  0.734
Tb  0.108  0.250  0.266
Tb  0.602  0.015  0.232
Tb  0.961  0.250  0.591
Tb  0.398  0.985  0.768
Tb  0.398  0.515  0.768
Tb  0.039  0.750  0.409
Mg  0.206  0.750  0.099
Mg  0.794  0.250  0.901
Al  0.783  0.750  0.034
Al  0.217  0.250  0.966
Al  0.522  0.250  0.531
Al  0.478  0.750  0.469

## Properties
- Energy above the most stable polymorph in this dataset: 146.8 meV per atom
- Spin magnetization: 0.0 Bohr magnetons per cell
- Density of states at the Fermi level: 1.1026 states/eV/atom
- Uncorrected energy: -55.92 eV/cell
- Symmetry: No. 11
- Density: 6172 kg/m³
- Formation enthalpy at 0 K: -0.051 eV/atom


No. 5
The following is a PBE calculation of a relaxed CsMgCr2Cl8 crystal, from the Alexandria database.

abc: 6.575 6.575 10.031
angles: 70.87 70.87 60.00
Site moments in Bohr magnetons follow the coordinates.
Fractional coordinates of all 12 atoms:
Cs  0.500  0.500  0.500  0.00
Mg  0.000  0.000  0.000  0.01
Cr  0.267  0.267  0.198  3.18
Cr  0.733  0.733  0.802  3.18
Cl  0.188  0.188  0.437  -0.02
Cl  0.637  0.266  0.157  0.00
Cl  0.812  0.812  0.563  -0.02
Cl  0.940  0.637  0.157  0.00
Cl  0.060  0.363  0.843  0.00
Cl  0.266  0.940  0.157  0.00
Cl  0.734  0.060  0.843  0.00
Cl  0.363  0.734  0.843  0.00

## Properties
- Spin magnetization: 7.0 Bohr magnetons per cell
- Density of states at the Fermi level: 1.0719 states/eV/atom
- Uncorrected energy: -51.77 eV/cell
- Symmetry: No. 148
- Density: 2602 kg/m³
- Formation energy from raw total energies: -1.2749 eV per atom


No. 6
The following is a PBE calculation of a relaxed LaZrCd crystal, from the Alexandria database.

abc: 5.229 5.229 3.483
angles: 90.00 90.00 120.00
Fractional coordinates of all 3 atoms:
Cd  0.000  0.000  0.830
La  0.667  0.333  0.334
Zr  0.333  0.667  0.836

## Properties
- Energy above the most stable polymorph in this dataset: 195.0 meV per atom
- Spin magnetization: 0.0 Bohr magnetons per cell
- Density of states at the Fermi level: 1.1429 states/eV/atom
- Uncorrected energy: -14.13 eV/cell
- Symmetry: No. 156
- Density: 6896 kg/m³
- Formation enthalpy at 0 K: 0.086 eV/atom


No. 7
The following is a PBE calculation of a relaxed In2Cu2Ge crystal, from the Alexandria database.

abc: 3.454 3.454 8.535
angles: 78.33 78.33 90.00
Fractional coordinates of all 5 atoms:
Ge  0.000  0.000  0.000
Cu  0.750  0.250  0.500
Cu  0.250  0.750  0.500
In  0.386  0.386  0.228
In  0.614  0.614  0.772

## Properties
- Energy above the most stable polymorph in this dataset: 36.7 meV per atom
- Spin magnetization: 0.0 Bohr magnetons per cell
- Density of states at the Fermi level: 0.3506 states/eV/atom
- Uncorrected energy: -17.43 eV/cell
- Symmetry: No. 139
- Density: 7309 kg/m³
- Formation enthalpy at 0 K: 0.170 eV/atom


No. 8
The following is a PBE calculation of a relaxed Ti5VTc6 crystal, from the Alexandria database.

abc: 4.370 6.188 6.909
angles: 90.00 108.39 90.00
Fractional coordinates of all 12 atoms:
V  0.000  0.000  0.000
Tc  0.835  0.752  0.671
Tc  0.836  0.248  0.671
Tc  0.500  0.246  0.000
Tc  0.500  0.754  0.000
Tc  0.164  0.752  0.329
Tc  0.165  0.248  0.329
Ti  0.666  0.500  0.333
Ti  0.333  0.000  0.667
Ti  0.000  0.500  0.000
Ti  0.667  0.000  0.333
Ti  0.334  0.500  0.667

## Properties
- Spin magnetization: 0.0 Bohr magnetons per cell
- Density of states at the Fermi level: 0.7761 states/eV/atom
- Uncorrected energy: -116.55 eV/cell
- Symmetry: No. 65
- Density: 8226 kg/m³
- Formation enthalpy at 0 K: -0.480 eV/atom


No. 9
The following is a PBE calculation of a relaxed Dy2MgBiO6 crystal, from the Alexandria database.

abc: 5.715 5.715 5.981
angles: 61.46 61.46 60.00
Site moments in Bohr magnetons follow the coordinates.
Fractional coordinates of all 10 atoms:
Dy  0.524  0.524  0.428  0.01
Dy  0.028  0.028  0.915  0.00
Mg  0.811  0.811  0.567  0.00
Bi  0.310  0.310  0.071  0.10
O  0.626  0.194  0.260  0.13
O  0.194  0.920  0.260  0.13
O  0.920  0.626  0.260  0.13
O  0.437  0.705  0.751  0.06
O  0.705  0.107  0.751  0.06
O  0.107  0.437  0.751  0.06

## Properties
- Spin magnetization: 0.8 Bohr magnetons per cell
- Density of states at the Fermi level: 0.3464 states/eV/atom
- Uncorrected energy: -70.00 eV/cell
- Symmetry: No. 146
- Density: 7699 kg/m³
- Formation energy from raw total energies: -2.5570 eV per atom


No. 10
The following is a PBE calculation of a relaxed Rb2IrPdI6 crystal, from the Alexandria database.

abc: 7.961 7.961 7.956
angles: 59.98 59.98 90.00
Fractional coordinates of all 10 atoms:
I  0.244  0.244  0.511
I  0.756  0.756  0.489
I  0.244  0.244  0.000
I  0.756  0.756  0.000
I  0.756  0.244  0.000
I  0.244  0.756  0.000
Ir  0.000  0.000  0.000
Rb  0.750  0.250  0.500
Rb  0.250  0.750  0.500
Pd  0.500  0.500  0.000

## Properties
- Spin magnetization: 0.0 Bohr magnetons per cell
- Density of states at the Fermi level: 0.8558 states/eV/atom
- Uncorrected energy: -30.69 eV/cell
- Symmetry: No. 139
- Density: 5736 kg/m³
- Formation energy from raw total energies: -0.5401 eV per atom


No. 11
The following is a PBE calculation of a relaxed MgZnP2 crystal, from the Alexandria database.

abc: 3.047 3.047 7.077
angles: 90.00 90.00 90.00
Fractional coordinates of all 4 atoms:
Mg  0.500  0.500  0.750
P  0.000  0.000  0.004
P  0.000  0.000  0.496
Zn  0.500  0.500  0.250

## Properties
- Energy above the most stable polymorph in this dataset: 314.8 meV per atom
- Spin magnetization: 0.0 Bohr magnetons per cell
- Density of states at the Fermi level: 0.4595 states/eV/atom
- Uncorrected energy: -13.06 eV/cell
- Symmetry: No. 123
- Density: 3833 kg/m³
- Formation enthalpy at 0 K: 0.157 eV/atom


No. 12
The following is a PBE calculation of a relaxed Rb2NaPbF crystal, from the Alexandria database.

abc: 6.199 6.199 4.534
angles: 90.00 90.00 90.00
Site moments in Bohr magnetons follow the coordinates.
Fractional coordinates of all 5 atoms:
Pb  0.500  0.500  0.500  0.30
Na  0.000  0.000  0.500  0.00
Rb  0.000  0.500  0.000  0.02
Rb  0.500  0.000  0.000  0.02
F  0.000  0.000  0.000  0.01

## Properties
- Spin magnetization: 1.1 Bohr magnetons per cell
- Density of states at the Fermi level: 0.5309 states/eV/atom
- Uncorrected energy: -13.75 eV/cell
- Symmetry: No. 123
- Density: 4005 kg/m³
- Formation energy from raw total energies: -0.9837 eV per atom


No. 13
The following is a PBE calculation of a relaxed Tb2AlGa2 crystal, from the Alexandria database.

abc: 4.375 5.895 9.529
angles: 81.50 76.73 68.22
Fractional coordinates of all 10 atoms:
Tb  0.316  0.269  0.099
Tb  0.497  0.328  0.678
Tb  0.684  0.731  0.901
Tb  0.503  0.672  0.322
Al  0.783  0.089  0.345
Al  0.217  0.911  0.655
Ga  0.975  0.163  0.888
Ga  0.139  0.285  0.436
Ga  0.025  0.837  0.112
Ga  0.861  0.715  0.564

## Properties
- Energy above the most stable polymorph in this dataset: 0.0 meV per atom
- Spin magnetization: 0.0 Bohr magnetons per cell
- Density of states at the Fermi level: 0.7933 states/eV/atom
- Uncorrected energy: -44.19 eV/cell
- Symmetry: No. 12
- Density: 7259 kg/m³
- Formation enthalpy at 0 K: -0.608 eV/atom